Computed, not measured: TiTeIr3 at its PBEsol-relaxed geometry at the meta-GGA SCAN level of DFT.

Output
**Calculated density**: 11.609 g/cm3
**Crystal system**: cubic
**E**: -51.788 eV/atom

Structure (POSCAR):
```
TiTeIr3
1.0
4.7560 0.0000 0.0000
0.0000 4.7560 0.0000
0.0000 0.0000 4.7560
Ti Te Ir
1 1 3
Cartesian
0.0000 0.0000 0.0000
2.3780 2.3780 2.3780
0.0000 2.3780 2.3780
2.3780 0.0000 2.3780
2.3780 2.3780 0.0000
```

Computed, not measured: BaCuNi at its PBEsol-relaxed geometry at the meta-GGA SCAN level of DFT.

Output
**Energy of formation from the pure elements**: 151 meV/atom
**Calculated density**: 6.469 g/cm3
**Crystal system**: hexagonal
**E**: -23.490 eV/atom

Structure (POSCAR):
```
BaCuNi
1.0
4.1485 0.0000 0.0000
-2.0743 3.5927 0.0000
0.0000 0.0000 4.4704
Ba Cu Ni
1 1 1
Cartesian
0.0000 0.0000 0.0000
0.0000 2.3952 2.2352
2.0743 1.1976 2.2352
```

Computed, not measured: AgPOs2 at its PBEsol-relaxed geometry at the meta-GGA SCAN level of DFT.

Output
**Energy of formation from the pure elements**: 382 meV/atom
**Calculated density**: 14.598 g/cm3
**Crystal system**: tetragonal
**E**: -46.000 eV/atom

Structure (POSCAR):
```
AgPOs2
1.0
2.7856 0.0000 0.0000
0.0000 2.7856 0.0000
0.0000 0.0000 7.6127
Ag P Os
1 1 2
Cartesian
0.0000 0.0000 0.0000
1.3928 1.3928 5.3866
0.0000 0.0000 3.8605
1.3928 1.3928 2.0760
```

Computed, not measured: TaTeRhN2 at its PBEsol-relaxed geometry at the meta-GGA SCAN level of DFT.

Output
**Calculated density**: 9.195 g/cm3
**Crystal system**: tetragonal
**E**: -29.810 eV/atom

Structure (POSCAR):
```
TaTeRhN2
1.0
3.8807 0.0000 0.0000
0.0000 3.8807 0.0000
0.0000 0.0000 5.2702
Ta Te Rh N
1 1 1 2
Cartesian
0.0000 0.0000 0.0000
1.9403 1.9403 0.0000
1.9403 1.9403 2.6351
0.0000 1.9403 2.6351
1.9403 0.0000 2.6351
```